Here is crystalline AlFePd2 at its relaxed geometry from the Alexandria database. Energies are from GGA-PBE.

Computed properties:
* ΔH_f (0 K): -35 meV/atom

Structure (POSCAR):
```
AlFePd2
1.0
-1.7926 -0.6978 3.3023
3.0957 -1.8297 1.2938
3.6941 6.1612 5.5186
Fe Pd Al
2 4 2
Cartesian
0.0000 0.0000 0.0000
1.2766 2.0998 5.5595
0.1909 0.8757 3.6040
2.6336 0.3092 2.6024
3.2605 3.6724 5.8630
3.9096 2.4101 8.1601
0.6516 -1.2638 2.2981
3.7207 1.5339 4.5553
```

Here is crystalline BaLiHg2Sb at its relaxed geometry from the Alexandria database. Energies are from GGA-PBE.

Computed properties:
* ΔE_f (raw): -487.1 meV/atom

Structure (POSCAR):
```
BaLiHg2Sb
1.0
5.1865 0.0000 0.0000
0.0000 5.1865 0.0000
0.0000 0.0000 5.4513
Sb Li Hg Ba
1 1 2 1
Cartesian
0.0000 0.0000 2.7257
0.0000 0.0000 0.0000
0.0000 2.5932 0.0000
2.5932 0.0000 0.0000
2.5932 2.5932 2.7257
```

Here is crystalline NaTeIr3 at its relaxed geometry from the Alexandria database. Energies are from GGA-PBE.

Computed properties:
* offset from the most stable computed form: 0.000 eV per atom
* ΔE_f (raw): 1309.4 meV/atom

Structure (POSCAR):
```
NaTeIr3
1.0
4.9057 0.0000 0.0000
0.0000 4.9057 0.0000
0.0000 0.0000 4.9057
Na Ir Te
1 3 1
Cartesian
2.4529 2.4529 2.4529
0.0000 2.4529 0.0000
0.0000 0.0000 2.4529
2.4529 0.0000 0.0000
0.0000 0.0000 0.0000
```